Entry 1:
DFT (GGA-PBE) results for an optimized crystal structure of Nd2Ho5Er.

Output
size of the total moment	0.0	Bohr magnetons per cell
ΔH_f (0 K)	0.1619	eV per atom
space group	No. 15
distance to the lowest polymorph of the same formula	0.1408	eV per atom

Lattice parameters (Å, degrees): 9.476 9.476 6.567 98.51 98.51 62.66
Element x y z (fractional)
1 Nd 0.164 0.675 0.878
2 Nd 0.325 0.836 0.622
3 Nd 0.675 0.164 0.378
4 Nd 0.836 0.325 0.122
5 Ho 0.011 0.190 0.649
6 Ho 0.190 0.011 0.149
7 Ho 0.214 0.387 0.471
8 Ho 0.387 0.214 0.971
9 Ho 0.441 0.559 0.250
10 Ho 0.559 0.441 0.750
11 Ho 0.613 0.786 0.029
12 Ho 0.786 0.613 0.529
13 Ho 0.810 0.989 0.851
14 Ho 0.989 0.810 0.351
15 Er 0.000 0.500 0.000
16 Er 0.500 0.000 0.500



Entry 2:
DFT (GGA-PBE) results for an optimized crystal structure of Nd16Ho6Er7.

Output
size of the total moment	0.0	Bohr magnetons per cell
ΔH_f (0 K)	0.2050	eV per atom
space group	No. 225

Lattice parameters (Å, degrees): 11.290 11.290 11.290 60.00 60.00 60.00
Element x y z (fractional)
1 Nd 0.054 0.649 0.649
2 Nd 0.125 0.125 0.125
3 Nd 0.125 0.125 0.625
4 Nd 0.125 0.625 0.125
5 Nd 0.351 0.351 0.351
6 Nd 0.351 0.351 0.946
7 Nd 0.351 0.946 0.351
8 Nd 0.375 0.875 0.875
9 Nd 0.625 0.125 0.125
10 Nd 0.649 0.054 0.649
11 Nd 0.649 0.649 0.054
12 Nd 0.649 0.649 0.649
13 Nd 0.875 0.375 0.875
14 Nd 0.875 0.875 0.375
15 Nd 0.875 0.875 0.875
16 Nd 0.946 0.351 0.351
17 Ho 0.265 0.265 0.735
18 Ho 0.265 0.735 0.265
19 Ho 0.265 0.735 0.735
20 Ho 0.735 0.265 0.265
21 Ho 0.735 0.265 0.735
22 Ho 0.735 0.735 0.265
23 Er 0.000 0.000 0.000
24 Er 0.000 0.000 0.500
25 Er 0.000 0.500 0.000
26 Er 0.000 0.500 0.500
27 Er 0.500 0.000 0.000
28 Er 0.500 0.000 0.500
29 Er 0.500 0.500 0.000